(1)
# Pr8Al2Sb | the Alexandria database | PBE | relaxed
data_Pr8Al2Sb
_cell_length_a 19.420
_cell_length_b 5.135
_cell_length_c 7.395
_cell_angle_alpha 90.00
_cell_angle_beta 105.35
_cell_angle_gamma 90.00
_space_group_name_H-M_alt 'C 1 2/m 1'
_space_group_IT_number 12
_space_group_name_Hall '-C 2y'
loop_
_atom_site_label
_atom_site_type_symbol
_atom_site_fract_x
_atom_site_fract_y
_atom_site_fract_z
Pr1 Pr 0.024 0.000 0.259
Pr2 Pr 0.101 0.500 0.965
Pr3 Pr 0.163 0.500 0.466
Pr4 Pr 0.209 0.000 0.807
Al1 Al 0.185 0.000 0.222
Sb1 Sb 0.000 0.500 0.500
# Total moment (μB/cell): 0.0

(2)
# Pr2AlSb4 | the Alexandria database | PBE | relaxed
data_Pr2AlSb4
_cell_length_a 4.386
_cell_length_b 4.386
_cell_length_c 10.625
_cell_angle_alpha 90.00
_cell_angle_beta 90.00
_cell_angle_gamma 90.00
_space_group_name_H-M_alt 'P -4 m 2'
_space_group_IT_number 115
_space_group_name_Hall 'P -4 -2'
loop_
_atom_site_label
_atom_site_type_symbol
_atom_site_fract_x
_atom_site_fract_y
_atom_site_fract_z
Pr1 Pr 0.000 0.500 0.235
Al1 Al 0.000 0.000 0.500
Sb1 Sb 0.000 0.000 0.000
Sb2 Sb 0.000 0.500 0.654
Sb3 Sb 0.500 0.500 0.000
# Total moment (μB/cell): 0.0

no.,density (g/cm3),ΔE_f (raw) (meV per atom)
1,6.08,-278
2,6.47,-704